Record 1
A plane-wave DFT calculation with GGA-PBE was carried out for crystalline BaIn3Sn at its relaxed geometry.

```
BaIn3Sn
1.0
-2.237 -5.261 -0.854
1.946 0.056 -5.442
4.961 -2.394 1.750
In Ba Sn
3 1 1
Cartesian
0.973 0.028 -2.721
2.481 -1.197 0.875
-1.118 -2.630 -0.427
2.335 -3.799 -2.273
0.000 0.000 0.000
```

- Energy above the most stable polymorph in this dataset: 388 meV/atom
- ΔE_f: 0.046 eV/atom
- Symmetry: Pm-3m
- Spin magnetization: 0.000 μB per formula unit


Record 2
A plane-wave DFT calculation with GGA-PBE was carried out for crystalline Ba3In2Sn3 at its relaxed geometry.

```
Ba3In2Sn3
1.0
5.080 0.000 0.000
-2.540 6.559 0.000
0.000 0.000 17.027
Ba In Sn
6 4 6
Cartesian
2.540 5.652 6.673
0.000 0.907 15.187
2.540 5.652 1.840
0.000 0.907 10.353
2.540 2.032 4.257
0.000 4.527 12.770
2.540 3.464 15.373
0.000 3.096 6.860
2.540 3.464 10.167
0.000 3.096 1.653
2.540 1.652 7.731
0.000 4.907 16.245
2.540 1.652 0.782
0.000 4.907 9.295
0.000 4.761 4.257
2.540 1.799 12.770
```

- Energy above the most stable polymorph in this dataset: 0 meV/atom
- ΔE_f: -0.563 eV/atom
- Symmetry: Cmcm
- Spin magnetization: 0.000 μB per formula unit


Record 3
A plane-wave DFT calculation with GGA-PBE was carried out for crystalline Ba3In6Sn5 at its relaxed geometry.

```
Ba3In6Sn5
1.0
5.317 0.000 0.000
0.000 11.313 0.000
0.000 0.000 14.684
Ba In Sn
6 12 10
Cartesian
0.000 2.816 10.107
2.659 8.497 2.765
2.659 8.497 11.919
0.000 2.857 0.000
2.659 8.456 7.342
0.000 2.816 4.577
0.000 11.126 12.544
2.659 0.187 9.483
2.659 4.394 12.290
2.659 6.307 0.000
0.000 5.006 7.342
0.000 6.919 9.737
0.000 6.919 4.948
2.659 10.778 0.000
0.000 11.126 2.141
2.659 4.394 2.395
0.000 0.535 7.342
2.659 0.187 5.202
0.000 5.899 12.636
0.000 9.931 9.709
0.000 8.758 0.000
2.659 5.414 9.391
2.659 2.555 7.342
0.000 5.899 2.048
2.659 5.414 5.294
0.000 9.931 4.975
2.659 1.381 12.318
2.659 1.381 2.367
```

- ΔE_f: -0.358 eV/atom
- Symmetry: Pmmn
- Spin magnetization: 0.000 μB per formula unit